The following is a PBE calculation of an optimized crystal structure of NdY2Rh, from Alexandria.

Computed properties:
DOS at the Fermi energy, states/eV per cell: 16.17
Space group: R-3m (166)
Volume, Å³/f.u.: 126.0
Distance to the lowest polymorph of the same formula, meV per atom: 328.5

CIF file:
```
data_NdY2Rh
_cell_length_a 3.702
_cell_length_b 3.702
_cell_length_c 31.842
_cell_angle_alpha 90.00
_cell_angle_beta 90.00
_cell_angle_gamma 120.00
_space_group_name_H-M_alt 'P 1'
_space_group_IT_number 1
_space_group_name_Hall 'P 1'
loop_
_atom_site_label
_atom_site_type_symbol
_atom_site_fract_x
_atom_site_fract_y
_atom_site_fract_z
Nd1 Nd 0.000 0.000 0.000
Nd2 Nd 0.333 0.667 0.667
Nd3 Nd 0.667 0.333 0.333
Y1 Y 0.000 0.000 0.112
Y2 Y 0.000 0.000 0.888
Y3 Y 0.333 0.667 0.554
Y4 Y 0.333 0.667 0.779
Y5 Y 0.667 0.333 0.221
Y6 Y 0.667 0.333 0.446
Rh1 Rh 0.000 0.000 0.500
Rh2 Rh 0.333 0.667 0.167
Rh3 Rh 0.667 0.333 0.833
```